Entry 1:
A relaxed structure of Ac8TbPm5, computed with GGA-PBE.

Values from the calculation:
Total magnetization   0.0 μB/cell
Formation energy   252 meV per atom

Structure (extended XYZ):
```
14
Lattice="2.160 -7.422 -4.797 -1.314 -2.722 8.581 -7.490 3.946 -3.331" Properties=species:S:1:pos:R:3 pbc="T T T"
Ac -1.992 -5.198 -0.761
Pm 0.873 -6.082 -3.215
Ac -4.468 -2.690 -3.359
Ac -4.807 0.858 0.521
Ac -2.022 -5.366 4.504
Pm -1.882 -1.319 -0.818
Ac -5.106 -3.095 0.542
Ac -0.951 -2.037 2.636
Pm -4.637 -6.374 1.828
Ac -1.121 -8.114 1.779
Pm 0.423 -5.072 1.892
Ac -6.111 0.850 -4.053
Tb -4.191 -1.924 3.571
Pm -7.643 1.380 3.110
```



Entry 2:
A relaxed structure of KRhBr2, computed with GGA-PBE.

Values from the calculation:
Excess energy over the best structure of this formula in the dataset   3.36 kcal/mol of atoms
Energy relative to the elements, uncorrected   -1.88 eV per formula unit
Total magnetization   0.0 μB/cell

Structure (extended XYZ):
```
8
Lattice="6.202 0.000 0.000 0.000 6.202 0.000 3.101 3.101 7.159" Properties=species:S:1:pos:R:3 pbc="T T T"
Br 5.321 1.550 1.790
Br 4.651 3.981 5.370
Br 0.881 4.651 1.790
Rh 6.202 3.101 3.580
Br 7.752 8.422 5.370
Rh 0.000 0.000 0.000
K 3.101 6.202 3.580
K 3.101 3.101 0.000
```



Entry 3:
A relaxed structure of Pr2Ga5Ni5, computed with GGA-PBE.

Values from the calculation:
Total magnetization   0.0 μB/cell
Formation energy   -518 meV per atom

Structure (extended XYZ):
```
12
Lattice="4.055 0.000 0.000 0.000 5.306 0.000 0.000 0.000 9.033" Properties=species:S:1:pos:R:3 pbc="T T T"
Ni 0.000 2.653 6.006
Ga 2.028 2.653 4.516
Ga 2.028 3.986 6.895
Ni 0.000 2.653 3.027
Ga 2.028 3.986 2.138
Ga 2.028 1.320 6.895
Ni 2.028 0.000 0.000
Ni 0.000 0.000 7.504
Pr 0.000 2.653 0.000
Ga 2.028 1.320 2.138
Pr 0.000 0.000 4.516
Ni 0.000 0.000 1.529
```



Entry 4:
A relaxed structure of LaMgMo2, computed with GGA-PBE.

Values from the calculation:
Total magnetization   0.0 μB/cell
Formation energy   677 meV per atom

Structure (extended XYZ):
```
4
Lattice="5.700 0.006 0.000 -2.631 5.057 0.000 0.000 0.000 2.775" Properties=species:S:1:pos:R:3 pbc="T T T"
Mo 1.535 2.531 0.000
Mo 0.000 0.000 0.000
La 2.850 0.003 1.388
Mg -1.315 2.528 1.388
```



Entry 5:
A relaxed structure of AgHRh3, computed with GGA-PBE.

Values from the calculation:
Excess energy over the best structure of this formula in the dataset   49.80 kcal/mol of atoms
Total magnetization   4.4 μB/cell

Structure (extended XYZ):
```
5
Lattice="4.906 0.000 0.000 0.000 4.906 0.000 0.000 0.000 4.906" Properties=species:S:1:pos:R:3 pbc="T T T"
Ag 0.000 0.000 0.000
Rh 0.000 2.453 0.000
H 2.453 2.453 2.453
Rh 2.453 0.000 0.000
Rh 0.000 0.000 2.453
```